[1]
# MoP2ClO

A relaxed structure of MoP2ClO (GGA+U, the Alexandria database).

Results
* space-group type: No. 123
* theoretical density: 3.4 g/cm³
* DFT total energy: -19.5 eV per formula unit

a b c (Å): 4.6959 4.6959 4.6494
angles (deg): 90.00 90.00 90.00
Last column: nearest neighbours and their distance in Å.
Atoms (fractional coordinates):
P  0.0000  0.5000  0.0000  2 Mo 2.35
P  0.5000  0.0000  0.0000  2 Mo 2.35
Mo  0.0000  0.0000  0.0000  2 Cl 2.32, 4 P 2.35
O  0.5000  0.5000  0.5000  8 P 3.30, 4 Cl 3.32
Cl  0.0000  0.0000  0.5000  2 Mo 2.32

***

[2]
# MoP2ClO

A relaxed structure of MoP2ClO (GGA+U, the Alexandria database).

Results
* space-group type: No. 123
* theoretical density: 4.1 g/cm³
* DFT total energy: -22.6 eV per formula unit

a b c (Å): 3.8972 3.8972 5.5822
angles (deg): 90.00 90.00 90.00
Last column: nearest neighbours and their distance in Å.
Atoms (fractional coordinates):
P  0.0000  0.5000  0.0000  2 O 1.95
P  0.5000  0.0000  0.0000  2 O 1.95
Mo  0.5000  0.5000  0.5000  4 Cl 2.76
O  0.0000  0.0000  0.0000  4 P 1.95
Cl  0.0000  0.0000  0.5000  4 Mo 2.76, 2 O 2.79